1.
{"formula": "KBa2Dy", "functional": "PBE", "state": "relaxed", "e_form_ev_per_atom": 0.39, "cell": [[-1.695, 1.528, 3.205], [-2.931, -1.926, 1.783], [8.473, -7.305, 10.377]], "species": ["K", "Ba", "Ba", "Dy"], "fractional_positions": [[0.500, 0.500, 0.500], [0.079, 0.079, 0.764], [0.921, 0.921, 0.236], [0.000, 0.000, 0.000]]}

---

2.
{"formula": "Cr3CdFe", "functional": "PBE", "state": "relaxed", "e_form_ev_per_atom": 1.02, "de_polymorph_ev_per_atom": 0.000, "cell": [[4.424, 0.000, 0.000], [0.000, 4.424, 0.000], [0.000, 0.000, 4.424]], "species": ["Cr", "Cr", "Cr", "Fe", "Cd"], "fractional_positions": [[0.000, 0.500, 0.000], [0.000, 0.000, 0.500], [0.500, 0.000, 0.000], [0.000, 0.000, 0.000], [0.500, 0.500, 0.500]]}

---

3.
{"formula": "KNaTm2F8", "functional": "PBE", "state": "relaxed", "formation_energy_uncorrected_ev_per_atom": -3.7109, "cell": [[-1.416, -2.312, 2.670], [0.390, -4.564, -3.742], [7.026, -1.432, 2.486]], "species": ["K", "Na", "Tm", "Tm", "F", "F", "F", "F", "F", "F", "F", "F"], "fractional_positions": [[0.000, 0.000, 0.500], [0.000, 0.000, 0.000], [0.500, 0.500, 0.754], [0.500, 0.500, 0.246], [0.000, 0.711, 0.241], [0.500, 0.718, 0.000], [0.000, 0.288, 0.241], [0.000, 0.289, 0.759], [0.500, 0.282, 0.000], [0.000, 0.712, 0.759], [0.500, 0.705, 0.500], [0.500, 0.295, 0.500]]}

---

no.,volume (A^3/atom),Fermi-level density of states (states/eV/atom)
1,50.6,1.27
2,17.3,1.41
3,14.2,0.00